Below is a crystal of Ga relaxed with PBEsol, with properties calculated at the SCAN level.

The calculation puts the energy above the lowest structure with this stoichiometry at 0 meV per atom. The calculation puts the formation energy at 0.00 eV per atom.

The space group is Cmcm (No. 63) and the conventional cell measures 7.646, 4.613 and 4.472 Å, with angles of 90.00, 90.00 and 90.00 degrees. The distinct sites, in fractional coordinates, are Ga at (0.162, 0.174, 0.250).